#a
Compound: BeHgTe2
Source: Alexandria via LeMat-Bulk
Functional: SCAN
Structure: single point on PBEsol structure

a = 6.095 Å, b = 6.095 Å, c = 7.309 Å
α = 114.64°, β = 114.64°, γ = 90.00°
Fractional coordinates of all 8 atoms:
Te 0.125 0.177 0.750
Hg 0.250 0.750 0.500
Hg 0.000 0.000 0.000
Te 0.823 0.375 0.250
Te 0.625 0.573 0.750
Be 0.500 0.500 0.000
Te 0.427 0.875 0.250
Be 0.750 0.250 0.500

Calculated values
Crystal system   tetragonal



#b
Compound: BeHgTe2
Source: Alexandria via LeMat-Bulk
Functional: SCAN
Structure: single point on PBEsol structure

a = 4.744 Å, b = 5.053 Å, c = 5.053 Å
α = 104.93°, β = 109.43°, γ = 109.43°
Fractional coordinates of all 4 atoms:
Te 0.000 0.000 0.500
Hg 0.500 0.000 0.000
Te 0.000 0.500 0.000
Be 0.500 0.500 0.500

Calculated values
Crystal system   monoclinic



It is #a that is most stable; the runner-up trails by 627 meV/atom.